Computed, not measured: an optimized crystal structure of TeMoCl2 at the PBE level of DFT.

Cell: 3.323 6.654 6.967 Å, 61.83 90.00 90.00°
Positions (direct):
Cl (0.500, 0.333, 0.378)
Mo (0.000, 0.601, 0.378)
Cl (0.000, 0.950, 0.083)
Te (0.500, 0.616, 0.661)

Results
Raw total energy, eV per atom: -4.84
N(E_F), states/eV/f.u.: 0.0
ΔE_f (raw), eV per atom: -0.427
Energy relative to the lowest polymorph listed for this composition, meV per atom: 0
Symmetry: Pm (6)

Computed, not measured: an optimized crystal structure of Tm2BeCu at the PBE level of DFT.

Cell: 4.796 4.796 4.796 Å, 60.00 60.00 60.00°
Positions (direct):
Cu (0.500, 0.500, 0.500)
Be (0.000, 0.000, 0.000)
Tm (0.750, 0.750, 0.750)
Tm (0.250, 0.250, 0.250)

Results
Raw total energy, eV per atom: -4.29
N(E_F), states/eV/f.u.: 3.3
Energy relative to the lowest polymorph listed for this composition, meV per atom: 12
Formation enthalpy at 0 K, eV/atom: -0.10
Symmetry: Fm-3m (225)

Computed, not measured: an optimized crystal structure of CeInIr at the PBE level of DFT.

Cell: 3.321 4.766 4.766 Å, 120.00 90.00 90.00°
Positions (direct):
In (0.167, 0.333, 0.667)
Ce (0.667, 0.667, 0.333)
Ir (0.166, 0.000, 0.000)

Results
Raw total energy, eV per atom: -6.29
N(E_F), states/eV/f.u.: 3.2
Formation enthalpy at 0 K, eV/atom: -0.44
Symmetry: P-6m2 (187)

Computed, not measured: an optimized crystal structure of LiCeZrMn at the PBE level of DFT.

Cell: 4.777 4.777 4.777 Å, 60.00 60.00 60.00°
Site moments in Bohr magnetons follow the coordinates.
Positions (direct):
Mn (0.500, 0.500, 0.500)  1.99
Ce (0.750, 0.750, 0.750)  -0.58
Zr (0.250, 0.250, 0.250)  -0.51
Li (0.000, 0.000, 0.000)  -0.04

Results
Raw total energy, eV per atom: -6.21
N(E_F), states/eV/f.u.: 5.7
Formation enthalpy at 0 K, eV/atom: 0.18
Symmetry: F-43m (216)

Computed, not measured: an optimized crystal structure of Cs2DySbSe4 at the PBE level of DFT.

Cell: 9.095 9.095 8.956 Å, 119.49 119.49 90.00°
Positions (direct):
Cs (0.500, 0.000, 0.500)
Se (0.226, 0.687, 0.456)
Se (0.772, 0.728, 0.538)
Se (0.228, 0.272, 0.038)
Sb (0.500, 0.500, 0.500)
Cs (0.000, 0.000, 0.500)
Se (0.228, 0.272, 0.462)
Se (0.187, 0.726, 0.956)
Cs (0.500, 0.500, 0.000)
Se (0.774, 0.313, 0.544)
Dy (0.000, 0.500, 0.000)
Cs (0.500, 0.000, 0.000)
Se (0.772, 0.728, 0.962)
Sb (0.000, 0.000, 0.000)
Dy (0.000, 0.500, 0.500)
Se (0.813, 0.274, 0.044)

Results
Raw total energy, eV per atom: -4.17
ΔE_f (raw), eV per atom: -1.119
Symmetry: Imma (74)

Computed, not measured: an optimized crystal structure of BeFePCl2 at the PBE level of DFT.

Cell: 4.666 4.666 4.469 Å, 90.00 90.00 90.00°
Site moments in Bohr magnetons follow the coordinates.
Positions (direct):
Cl (0.500, 0.000, 0.000)  0.00
P (0.000, 0.000, 0.500)  -0.17
Cl (0.000, 0.500, 0.000)  0.00
Be (0.500, 0.500, 0.500)  -0.04
Fe (0.000, 0.000, 0.000)  1.99

Results
Raw total energy, eV per atom: -3.69
N(E_F), states/eV/f.u.: 4.4
ΔE_f (raw), eV per atom: 0.565
Energy relative to the lowest polymorph listed for this composition, meV per atom: 225
Symmetry: P4/mmm (123)

Computed, not measured: an optimized crystal structure of BaNi2Pt2 at the PBE level of DFT.

Cell: 4.400 4.400 5.978 Å, 68.40 68.40 90.00°
Site moments in Bohr magnetons follow the coordinates.
Positions (direct):
Ni (0.750, 0.250, 0.500)  0.42
Ni (0.250, 0.750, 0.500)  0.42
Pt (0.628, 0.628, 0.743)  0.15
Ba (0.000, 0.000, 0.000)  -0.02
Pt (0.372, 0.372, 0.257)  0.15

Results
Raw total energy, eV per atom: -5.27
N(E_F), states/eV/f.u.: 6.6
Energy relative to the lowest polymorph listed for this composition, meV per atom: 0
Formation enthalpy at 0 K, eV/atom: -0.16
Symmetry: I4/mmm (139)

Computed, not measured: an optimized crystal structure of HgW2Au at the PBE level of DFT.

Cell: 2.843 2.843 9.476 Å, 90.00 90.00 110.10°
Positions (direct):
Hg (0.500, 0.500, 0.755)
W (0.500, 0.500, 0.239)
W (0.000, 0.000, 0.021)
Au (0.000, 0.000, 0.485)

Results
Raw total energy, eV per atom: -6.98
N(E_F), states/eV/f.u.: 2.3
Formation enthalpy at 0 K, eV/atom: 0.39
Symmetry: Cmm2 (35)

Computed, not measured: an optimized crystal structure of LiAcSnPd3 at the PBE level of DFT.

Cell: 6.853 5.929 6.859 Å, 115.61 90.00 90.00°
Positions (direct):
Pd (0.000, 0.747, 0.000)
Pd (0.000, 0.253, 0.000)
Li (0.750, 0.070, 0.140)
Ac (0.750, 0.317, 0.634)
Pd (0.250, 0.154, 0.308)
Sn (0.750, 0.627, 0.254)
Pd (0.500, 0.747, 0.000)
Ac (0.250, 0.683, 0.366)
Li (0.250, 0.930, 0.860)
Pd (0.750, 0.846, 0.692)
Pd (0.500, 0.253, 0.000)
Sn (0.250, 0.373, 0.746)

Results
Raw total energy, eV per atom: -4.86
N(E_F), states/eV/f.u.: 2.6
Formation enthalpy at 0 K, eV/atom: -0.59
Symmetry: Cmcm (63)

Computed, not measured: an optimized crystal structure of Ca2AcPrTe4 at the PBE level of DFT.

Cell: 4.538 8.033 7.859 Å, 70.96 90.00 90.00°
Positions (direct):
Te (0.500, 0.239, 0.748)
Te (0.000, 0.235, 0.261)
Te (0.000, 0.765, 0.739)
Pr (0.000, 0.500, 0.500)
Ac (0.500, 0.500, 0.000)
Ca (0.500, 0.000, 0.500)
Te (0.500, 0.761, 0.252)
Ca (0.000, 0.000, 0.000)

Results
Raw total energy, eV per atom: -4.71
N(E_F), states/eV/f.u.: 3.8
ΔE_f (raw), eV per atom: -1.529
Symmetry: P2/m (10)

Computed, not measured: an optimized crystal structure of Ca2LaNi at the PBE level of DFT.

Cell: 4.469 4.488 5.621 Å, 90.00 90.00 90.00°
Positions (direct):
Ni (0.000, 0.500, 0.500)
Ca (0.500, 0.500, 0.000)
Ca (0.000, 0.000, 0.000)
La (0.500, 0.000, 0.500)

Results
Raw total energy, eV per atom: -3.51
N(E_F), states/eV/f.u.: 3.7
Energy relative to the lowest polymorph listed for this composition, meV per atom: 292
Formation enthalpy at 0 K, eV/atom: 0.17
Symmetry: Pmmm (47)

Computed, not measured: an optimized crystal structure of Pa2AlC at the PBE level of DFT.

Cell: 3.078 3.078 7.548 Å, 90.00 90.00 90.00°
Positions (direct):
Pa (0.000, 0.000, 0.806)
C (0.500, 0.500, 0.000)
Al (0.500, 0.500, 0.500)
Pa (0.000, 0.000, 0.194)

Results
Raw total energy, eV per atom: -8.02
N(E_F), states/eV/f.u.: 5.6
Energy relative to the lowest polymorph listed for this composition, meV per atom: 198
Formation enthalpy at 0 K, eV/atom: -0.03
Symmetry: P4/mmm (123)